# RbCdTe2I, relaxed, DFT PBE
# Energy relative to the lowest polymorph listed for this composition = 0 meV per atom
# Energy relative to the elements, uncorrected = -1.72 eV per formula unit
# N(E_F) = 1.59 states/eV/atom
# Total moment = 0.000 μB per formula unit
data_RbCdTe2I
_chemical_formula_sum 'Rb1 Cd1 Te2 I1'
_space_group_name_H-M_alt 'P 4/m m m'
_space_group_IT_number 123
_space_group_name_Hall '-P 4 2'
_cell_length_a 5.6518
_cell_length_b 5.6518
_cell_length_c 6.4752
_cell_angle_alpha 90.00
_cell_angle_beta 90.00
_cell_angle_gamma 90.00
loop_
_atom_site_label
_atom_site_fract_x
_atom_site_fract_y
_atom_site_fract_z
Rb1 0.0000 0.0000 0.0000
Cd1 0.5000 0.5000 0.5000
Te1 0.0000 0.5000 0.5000
I1 0.5000 0.5000 0.0000